## NiSe4I (PBE-GGA)

Data for crystalline NiSe4I at its relaxed geometry.

Space-group type: C2/m, No. 12
Spin magnetization: 0.000 μB per atom
Uncorrected energy: -3.46 eV per atom

Lattice parameters (Å, degrees): 7.0052 7.7757 7.8466 119.70 105.38 90.00
With the nearest neighbours (Å) after each atom.
Positions (direct):
1 Se 0.5354 0.2979 0.5958  1 Ni 2.43, 2 Se 2.50
2 Se 0.5934 0.8176 0.2041  2 Se 2.50-2.69, 2 Ni 2.52-2.54
3 Se 0.0000 0.3487 0.0000  1 Se 2.35, 2 Ni 2.49
4 Se 0.4066 0.1824 0.7959  2 Se 2.50-2.69, 2 Ni 2.52-2.54
5 Ni 0.3219 0.5159 0.0319  7 Se 2.43-2.54, 1 Ni 2.66
6 Ni 0.6781 0.4841 0.9681  7 Se 2.43-2.54, 1 Ni 2.66
7 Se 0.0000 0.6513 0.0000  1 Se 2.35, 2 Ni 2.49
8 I 0.0786 0.8654 0.7308  4 Se 3.12-3.41
9 Se 0.4646 0.7021 0.4042  1 Ni 2.43, 2 Se 2.50
10 I 0.9214 0.1346 0.2692  4 Se 3.12-3.41
11 Se 0.4066 0.6136 0.7959  2 Se 2.50-2.69, 2 Ni 2.52-2.54
12 Se 0.5934 0.3864 0.2041  2 Se 2.50-2.69, 2 Ni 2.52-2.54

***

## TiBeS2N (PBE-GGA)

Data for crystalline TiBeS2N at its relaxed geometry.

Space-group type: P4/mmm, No. 123
Spin magnetization: 0.000 μB per atom
Energy relative to the lowest polymorph listed for this composition: 0.00 eV/f.u.

Lattice parameters (Å, degrees): 4.4774 4.4774 3.1958 90.00 90.00 90.00
With the nearest neighbours (Å) after each atom.
Positions (direct):
1 S 0.5000 0.0000 0.0000  2 Be 2.24
2 Ti 0.5000 0.5000 0.5000  8 S 2.75
3 Be 0.0000 0.0000 0.0000  2 N 1.60
4 N 0.0000 0.0000 0.5000  2 Be 1.60
5 S 0.0000 0.5000 0.0000  2 Be 2.24

***

## Sn3GePt (PBE-GGA)

Data for crystalline Sn3GePt at its relaxed geometry.

Space-group type: Pm-3m, No. 221
Formation energy: 17.76 kcal/mol of atoms
Spin magnetization: 0.000 μB per atom
Energy relative to the lowest polymorph listed for this composition: 2.62 eV/f.u.

Lattice parameters (Å, degrees): 5.1942 5.1942 5.1942 90.00 90.00 90.00
With the nearest neighbours (Å) after each atom.
Positions (direct):
1 Sn 0.0000 0.5000 0.0000  2 Ge 2.60
2 Pt 0.5000 0.5000 0.5000  12 Sn 3.67
3 Sn 0.0000 0.0000 0.5000  2 Ge 2.60
4 Sn 0.5000 0.0000 0.0000  2 Ge 2.60
5 Ge 0.0000 0.0000 0.0000  6 Sn 2.60

***

N(E_F) readings, ordered: 8.63 4.48 2.66 states/eV/cell